Density functional theory data (PBE with a Hubbard U) for a geometry-optimized LaV2AgO8 structure.

Output
Space-group type = P-3m1, No. 164
Total energy = -6.920 eV/atom
Magnetic moment = 2.05 μB per formula unit

abc: 5.9328 5.9328 6.3912
angles: 90.00 90.00 120.00
Element x y z (fractional)
1 La 0.0000 0.0000 0.0000
2 O 0.1672 0.8328 0.7342
3 O 0.3333 0.6667 0.3915
4 O 0.3345 0.1672 0.2658
5 O 0.8328 0.6655 0.2658
6 O 0.8328 0.1672 0.2658
7 O 0.6655 0.8328 0.7342
8 O 0.1672 0.3345 0.7342
9 O 0.6667 0.3333 0.6085
10 V 0.3333 0.6667 0.6478
11 V 0.6667 0.3333 0.3522
12 Ag 0.0000 0.0000 0.5000